## 1
A plane-wave DFT calculation with meta-GGA SCAN was carried out for a crystal of CsNbTe3 relaxed with PBEsol.

Values from the calculation:
The space-group type is Pm-3m (221). As for the magnetization: 0.481 μB/atom.

abc: 5.9433 5.9433 5.9433
angles: 90.00 90.00 90.00
Last column: magnetic moment on the atom in μB.
Element x y z (fractional)
1 Cs 0.0000 0.0000 0.0000  0.00
2 Te 0.0000 0.5000 0.0000  -0.27
3 Te 0.5000 0.0000 0.0000  -0.27
4 Nb 0.5000 0.5000 0.5000  2.75
5 Te 0.0000 0.0000 0.5000  -0.27

## 2
A plane-wave DFT calculation with meta-GGA SCAN was carried out for a crystal of CsNbTe3 relaxed with PBEsol.

Values from the calculation:
The space-group type is Pm-3m (221). As for the magnetization: 0.000 μB/atom.

abc: 5.4882 5.4882 5.4882
angles: 90.00 90.00 90.00
Element x y z (fractional)
1 Te 0.0000 0.0000 0.5000
2 Nb 0.0000 0.0000 0.0000
3 Te 0.0000 0.5000 0.0000
4 Te 0.5000 0.0000 0.0000
5 Cs 0.5000 0.5000 0.5000

Which one sits at the top of the stability order? 2 does.